Compound: Re2AgOsRu
Source: Alexandria
Functional: PBE
Structure: optimized geometry

Computed properties:
E_form, eV/atom: 2.36
Calculated total energy, eV per atom: -7.29

```
Re2AgOsRu
1.0
4.653 0.000 0.000
0.000 4.913 0.000
0.000 0.000 4.653
Re Ru Ag Os
2 1 1 1
direct
0.500 0.000 0.000
0.000 0.000 0.500
0.500 0.500 0.500
0.000 0.500 0.000
0.000 0.000 0.000
```


Compound: CsLiPaSe4
Source: Alexandria
Functional: PBE
Structure: optimized geometry

Computed properties:
Formation energy (no corrections), meV/atom: -1237
Calculated total energy, eV per atom: -4.98

```
CsLiPaSe4
1.0
-1.323 -1.263 -7.036
0.762 -5.643 0.870
-8.965 -0.463 4.852
Pa Se Li Cs
2 8 2 2
direct
0.266 0.250 0.556
0.734 0.750 0.444
0.014 0.510 0.681
0.986 0.010 0.319
0.488 0.750 0.189
0.986 0.490 0.319
0.568 0.250 0.426
0.014 0.990 0.681
0.432 0.750 0.574
0.512 0.250 0.811
0.737 0.250 0.675
0.263 0.750 0.325
0.760 0.750 0.953
0.240 0.250 0.047
```


Compound: CaMoAs3
Source: Alexandria
Functional: PBE
Structure: optimized geometry

Computed properties:
E_form, eV/atom: -0.11
Energy above the most stable polymorph in this dataset, eV per formula unit: 0.00
Calculated total energy, eV per atom: -5.47

```
CaMoAs3
1.0
4.939 0.000 0.000
0.000 4.939 0.000
0.000 0.000 4.939
As Mo Ca
3 1 1
direct
0.000 0.500 0.000
0.500 0.000 0.000
0.000 0.000 0.500
0.000 0.000 0.000
0.500 0.500 0.500
```


Compound: Ce5InIr5
Source: Alexandria
Functional: PBE
Structure: optimized geometry

Computed properties:
E_form, eV/atom: -0.50
Calculated total energy, eV per atom: -7.47

```
Ce5InIr5
1.0
5.569 0.000 0.000
-2.785 6.165 -0.211
0.000 -2.550 7.939
Ce Ir In
5 5 1
direct
0.000 0.000 0.500
0.325 0.650 0.671
0.675 0.350 0.329
0.329 0.658 0.155
0.671 0.342 0.845
0.500 0.000 0.000
0.842 0.684 0.667
0.151 0.301 0.821
0.158 0.316 0.333
0.849 0.699 0.179
0.000 0.000 0.000
```


Compound: La2Ge2Rh3
Source: Alexandria
Functional: PBE
Structure: optimized geometry

Computed properties:
E_form, eV/atom: -0.78
Calculated total energy, eV per atom: -6.66

```
La2Ge2Rh3
1.0
3.839 0.000 0.000
-1.920 5.536 -0.151
0.000 -2.728 6.692
La Rh Ge
2 3 2
direct
0.121 0.242 0.767
0.879 0.758 0.233
0.369 0.737 0.566
0.631 0.263 0.434
0.500 0.000 0.000
0.843 0.687 0.770
0.157 0.313 0.230
```


Compound: EuScInHg
Source: Alexandria
Functional: PBE
Structure: optimized geometry

Computed properties:
E_form, eV/atom: -0.40
Calculated total energy, eV per atom: -5.31

```
EuScInHg
1.0
5.281 0.000 0.000
2.640 4.573 0.000
2.640 1.524 4.312
Hg In Eu Sc
1 1 1 1
direct
0.250 0.250 0.250
0.750 0.750 0.750
0.500 0.500 0.500
0.000 0.000 0.000
```